A geometry-optimized SrNp structure. Source: OQMD, functional PBE.

It has space group P-6m2 (No. 187), with a = 3.5284 Å, b = 3.5284 Å, c = 6.4222 Å, α = 90.00°, β = 90.00° and γ = 120.00°. The inequivalent atoms are Sr at (0.0000, 0.0000, 0.0000) and Np at (0.3333, 0.6667, 0.5000).

As for the energy above the most stable polymorph in this dataset: 0 meV per atom. Its volume is 34.62 Å³ per atom. As for the crystal system: hexagonal. As for the magnetization: 5.09 μB per formula unit. The calculation puts the total energy at -12.7 eV for the cell shown.